Version A
Material: GaP2H
Method: DFT, GGA-PBE
State: optimized geometry

a = 4.656 Å, b = 5.032 Å, c = 6.527 Å
α = 68.19°, β = 83.89°, γ = 89.28°
Space group P1 (No. 1)
Symmetry-distinct sites (fractional):
Ga 0.000 0.000 0.000 (multiplicity 1)
Ga 0.432 0.122 0.718 (multiplicity 1)
P 0.012 0.149 0.315 (multiplicity 1)
P 0.441 0.609 0.449 (multiplicity 1)
P 0.746 0.821 0.588 (multiplicity 1)
P 0.750 0.539 0.200 (multiplicity 1)
H 0.554 0.493 0.062 (multiplicity 1)
H 0.699 0.168 0.887 (multiplicity 1)

Summary:
crystal system: triclinic


Version B
Material: GaP2H
Method: DFT, GGA-PBE
State: optimized geometry

a = 11.251 Å, b = 4.999 Å, c = 5.102 Å
α = 90.00°, β = 98.67°, γ = 90.00°
Space group C2 (No. 5)
Symmetry-distinct sites (fractional):
Ga 0.114 0.000 0.065 (multiplicity 4)
P 0.136 0.651 0.404 (multiplicity 4)
P 0.245 0.848 0.741 (multiplicity 4)
H 0.000 0.094 0.500 (multiplicity 2)
H 0.000 0.247 0.500 (multiplicity 2)

Summary:
crystal system: monoclinic


Version C
Material: GaP2H
Method: DFT, GGA-PBE
State: optimized geometry

a = 9.816 Å, b = 5.326 Å, c = 5.449 Å
α = 90.00°, β = 103.44°, γ = 90.00°
Space group C2 (No. 5)
Symmetry-distinct sites (fractional):
Ga 0.238 0.000 0.231 (multiplicity 4)
P 0.118 0.166 0.835 (multiplicity 4)
P 0.121 0.865 0.565 (multiplicity 4)
H 0.000 0.571 0.000 (multiplicity 2)
H 0.000 0.713 0.000 (multiplicity 2)

Summary:
crystal system: monoclinic


So which one wins? Going from most stable to least: version B, version C, version A.


Version A
Material: GaP2H
Method: DFT, GGA-PBE
State: optimized geometry

a = 4.884 Å, b = 5.119 Å, c = 6.200 Å
α = 114.33°, β = 91.70°, γ = 90.14°
Space group P1 (No. 1)
Symmetry-distinct sites (fractional):
Ga 0.000 0.000 0.000 (multiplicity 1)
Ga 0.173 0.222 0.443 (multiplicity 1)
P 0.339 0.995 0.708 (multiplicity 1)
P 0.538 0.581 0.497 (multiplicity 1)
P 0.637 0.305 0.946 (multiplicity 1)
P 0.835 0.509 0.734 (multiplicity 1)
H 0.032 0.609 0.239 (multiplicity 1)
H 0.172 0.574 0.183 (multiplicity 1)

Summary:
crystal system: triclinic


Version B
Material: GaP2H
Method: DFT, GGA-PBE
State: optimized geometry

a = 5.417 Å, b = 5.417 Å, c = 6.246 Å
α = 109.48°, β = 105.34°, γ = 107.94°
Space group P1 (No. 1)
Symmetry-distinct sites (fractional):
Ga 0.000 0.000 0.000 (multiplicity 1)
Ga 0.274 0.182 0.455 (multiplicity 1)
P 0.214 0.551 0.765 (multiplicity 1)
P 0.285 0.972 0.759 (multiplicity 1)
P 0.730 0.284 0.016 (multiplicity 1)
P 0.787 0.474 0.759 (multiplicity 1)
H 0.600 0.731 0.323 (multiplicity 1)
H 0.626 0.839 0.450 (multiplicity 1)

Summary:
crystal system: triclinic


Version C
Material: GaP2H
Method: DFT, GGA-PBE
State: optimized geometry

a = 4.477 Å, b = 4.477 Å, c = 11.936 Å
α = 90.00°, β = 90.00°, γ = 90.00°
Space group I-42d (No. 122)
Symmetry-distinct sites (fractional):
Ga 0.000 0.000 0.000 (multiplicity 4)
P 0.129 0.250 0.625 (multiplicity 8)
H 0.000 0.000 0.500 (multiplicity 4)

Summary:
crystal system: tetragonal


Version D
Material: GaP2H
Method: DFT, GGA-PBE
State: optimized geometry

a = 5.175 Å, b = 4.876 Å, c = 5.563 Å
α = 90.00°, β = 90.36°, γ = 90.00°
Space group P2_1 (No. 4)
Symmetry-distinct sites (fractional):
Ga 0.048 0.000 0.145 (multiplicity 2)
P 0.241 0.693 0.519 (multiplicity 2)
P 0.399 0.344 0.314 (multiplicity 2)
H 0.480 0.984 0.883 (multiplicity 2)

Summary:
crystal system: monoclinic


So which one wins? Going from most stable to least: version A, version B, version D, version C.


Version A
Material: GaP2HS
Method: DFT, GGA-PBE
State: optimized geometry

a = 4.738 Å, b = 4.738 Å, c = 4.820 Å
α = 90.00°, β = 90.00°, γ = 90.00°
Space group P4/mmm (No. 123)
Symmetry-distinct sites (fractional):
Ga 0.000 0.000 0.000 (multiplicity 1)
P 0.000 0.500 0.000 (multiplicity 2)
H 0.500 0.500 0.500 (multiplicity 1)
S 0.000 0.000 0.500 (multiplicity 1)

Summary:
crystal system: tetragonal


Version B
Material: GaP2HS
Method: DFT, GGA-PBE
State: optimized geometry

a = 3.504 Å, b = 3.504 Å, c = 7.264 Å
α = 90.00°, β = 90.00°, γ = 90.00°
Space group P4/mmm (No. 123)
Symmetry-distinct sites (fractional):
Ga 0.000 0.000 0.000 (multiplicity 1)
P 0.000 0.500 0.500 (multiplicity 2)
H 0.500 0.500 0.500 (multiplicity 1)
S 0.500 0.500 0.000 (multiplicity 1)

Summary:
crystal system: tetragonal


So which one wins? Going from most stable to least: version B, version A.


Version A
Material: Pa3GaH
Method: DFT, GGA-PBE
State: optimized geometry

a = 7.2740 Å, b = 7.2740 Å, c = 12.9309 Å
α = 90.00°, β = 90.00°, γ = 120.00°
Space group R-3c (No. 167, hexagonal axes)
Symmetry-distinct sites (fractional):
Pa 0.0000 0.4098 0.2500 (multiplicity 18)
Ga 0.0000 0.0000 0.2500 (multiplicity 6)
H 0.0000 0.0000 0.0000 (multiplicity 6)

Summary:
crystal system: trigonal


Version B
Material: Pa3GaH
Method: DFT, GGA-PBE
State: optimized geometry

a = 4.589 Å, b = 4.589 Å, c = 4.589 Å
α = 90.00°, β = 90.00°, γ = 90.00°
Space group Pm-3m (No. 221)
Symmetry-distinct sites (fractional):
Pa 0.000 0.000 0.500 (multiplicity 3)
Ga 0.500 0.500 0.500 (multiplicity 1)
H 0.000 0.000 0.000 (multiplicity 1)

Summary:
crystal system: cubic


So which one wins? Going from most stable to least: version B, version A.


Version A
Material: Pa2GaH
Method: DFT, GGA-PBE
State: optimized geometry

a = 4.1465 Å, b = 4.1465 Å, c = 14.9363 Å
α = 90.00°, β = 90.00°, γ = 120.00°
Space group R-3m (No. 166, hexagonal axes)
Symmetry-distinct sites (fractional):
Pa 0.0000 0.0000 0.2197 (multiplicity 6)
Ga 0.0000 0.0000 0.0000 (multiplicity 3)
H 0.0000 0.0000 0.5000 (multiplicity 3)

Summary:
crystal system: trigonal


Version B
Material: Pa2GaH
Method: DFT, GGA-PBE
State: optimized geometry

a = 3.159 Å, b = 3.159 Å, c = 6.976 Å
α = 90.00°, β = 90.00°, γ = 90.00°
Space group P4/mmm (No. 123)
Symmetry-distinct sites (fractional):
Pa 0.000 0.000 0.195 (multiplicity 2)
Ga 0.500 0.500 0.500 (multiplicity 1)
H 0.500 0.500 0.000 (multiplicity 1)

Summary:
crystal system: tetragonal


So which one wins? Going from most stable to least: version B, version A.


Version A
Material: GaHPb
Method: DFT, GGA-PBE
State: optimized geometry

a = 7.253 Å, b = 4.759 Å, c = 7.011 Å
α = 90.00°, β = 90.00°, γ = 90.00°
Space group Pnma (No. 62)
Symmetry-distinct sites (fractional):
Ga 0.091 0.250 0.021 (multiplicity 4)
H 0.093 0.250 0.264 (multiplicity 4)
Pb 0.161 0.250 0.557 (multiplicity 4)

Summary:
crystal system: orthorhombic


Version B
Material: GaHPb
Method: DFT, GGA-PBE
State: optimized geometry

a = 3.398 Å, b = 4.475 Å, c = 9.012 Å
α = 103.08°, β = 99.76°, γ = 91.94°
Space group P-1 (No. 2)
Symmetry-distinct sites (fractional):
Ga 0.233 0.231 0.460 (multiplicity 2)
H 0.494 0.948 0.960 (multiplicity 2)
Pb 0.125 0.627 0.239 (multiplicity 2)

Summary:
crystal system: triclinic


So which one wins? Going from most stable to least: version B, version A.


Version A
Material: GaHPb
Method: DFT, GGA-PBE
State: optimized geometry

a = 6.154 Å, b = 3.274 Å, c = 6.202 Å
α = 90.00°, β = 110.28°, γ = 90.00°
Space group P2_1 (No. 4)
Symmetry-distinct sites (fractional):
Ga 0.076 0.000 0.373 (multiplicity 2)
H 0.113 0.501 0.892 (multiplicity 2)
Pb 0.430 0.502 0.216 (multiplicity 2)

Summary:
crystal system: monoclinic


Version B
Material: GaHPb
Method: DFT, GGA-PBE
State: optimized geometry

a = 3.281 Å, b = 5.011 Å, c = 8.186 Å
α = 100.59°, β = 99.41°, γ = 104.07°
Space group P1 (No. 1)
Symmetry-distinct sites (fractional):
Ga 0.000 0.000 0.000 (multiplicity 1)
Ga 0.347 0.592 0.153 (multiplicity 1)
H 0.174 0.843 0.545 (multiplicity 1)
H 0.178 0.747 0.607 (multiplicity 1)
Pb 0.632 0.398 0.807 (multiplicity 1)
Pb 0.714 0.194 0.346 (multiplicity 1)

Summary:
crystal system: triclinic


Version C
Material: GaHPb
Method: DFT, GGA-PBE
State: optimized geometry

a = 3.264 Å, b = 6.228 Å, c = 6.653 Å
α = 87.59°, β = 89.47°, γ = 88.82°
Space group P1 (No. 1)
Symmetry-distinct sites (fractional):
Ga 0.000 0.000 0.000 (multiplicity 1)
Ga 0.492 0.339 0.006 (multiplicity 1)
H 0.737 0.158 0.560 (multiplicity 1)
H 0.747 0.181 0.447 (multiplicity 1)
Pb 0.010 0.652 0.730 (multiplicity 1)
Pb 0.484 0.687 0.276 (multiplicity 1)

Summary:
crystal system: triclinic


Version D
Material: GaHPb
Method: DFT, GGA-PBE
State: optimized geometry

a = 8.771 Å, b = 3.383 Å, c = 7.587 Å
α = 90.00°, β = 90.00°, γ = 90.00°
Space group Pnma (No. 62)
Symmetry-distinct sites (fractional):
Ga 0.002 0.250 0.164 (multiplicity 4)
H 0.106 0.750 0.227 (multiplicity 4)
Pb 0.191 0.250 0.543 (multiplicity 4)

Summary:
crystal system: orthorhombic


So which one wins? Going from most stable to least: version B, version C, version A, version D.


Version A
Material: GaHPb
Method: DFT, GGA-PBE
State: optimized geometry

a = 7.421 Å, b = 4.911 Å, c = 7.229 Å
α = 90.00°, β = 90.00°, γ = 90.00°
Space group Pnma (No. 62)
Symmetry-distinct sites (fractional):
Ga 0.000 0.000 0.000 (multiplicity 4)
H 0.072 0.250 0.443 (multiplicity 4)
Pb 0.135 0.750 0.373 (multiplicity 4)

Summary:
crystal system: orthorhombic


Version B
Material: GaHPb
Method: DFT, GGA-PBE
State: optimized geometry

a = 4.216 Å, b = 4.216 Å, c = 7.493 Å
α = 90.00°, β = 90.00°, γ = 90.00°
Space group I4mm (No. 107)
Symmetry-distinct sites (fractional):
Ga 0.000 0.000 0.000 (multiplicity 2)
H 0.000 0.000 0.233 (multiplicity 2)
Pb 0.000 0.000 0.499 (multiplicity 2)

Summary:
crystal system: tetragonal


So which one wins? Going from most stable to least: version B, version A.


Version A
Material: GaSnHPb2
Method: DFT, GGA-PBE
State: optimized geometry

a = 5.058 Å, b = 5.058 Å, c = 4.507 Å
α = 90.00°, β = 90.00°, γ = 90.00°
Space group P4/mmm (No. 123)
Symmetry-distinct sites (fractional):
Ga 0.000 0.000 0.000 (multiplicity 1)
Sn 0.500 0.500 0.000 (multiplicity 1)
H 0.000 0.000 0.500 (multiplicity 1)
Pb 0.000 0.500 0.500 (multiplicity 2)

Summary:
crystal system: tetragonal


Version B
Material: GaSnHPb2
Method: DFT, GGA-PBE
State: optimized geometry

a = 5.914 Å, b = 5.914 Å, c = 3.407 Å
α = 90.00°, β = 90.00°, γ = 90.00°
Space group P4/mmm (No. 123)
Symmetry-distinct sites (fractional):
Ga 0.000 0.000 0.000 (multiplicity 1)
Sn 0.500 0.500 0.500 (multiplicity 1)
H 0.000 0.000 0.500 (multiplicity 1)
Pb 0.000 0.500 0.000 (multiplicity 2)

Summary:
crystal system: tetragonal


So which one wins? Going from most stable to least: version B, version A.